Material: CdWOF2
Method: DFT, PBE+U
State: relaxed

a = 4.341 Å, b = 4.341 Å, c = 4.128 Å
α = 90.00°, β = 90.00°, γ = 90.00°
Space group P4/mmm (No. 123)
Asymmetric unit:
Cd1 0.000 0.000 0.000 x1
W1 0.500 0.500 0.500 x1
O1 0.500 0.500 0.000 x1
F1 0.000 0.500 0.500 x2

Calculated values
- Total magnetization: 2.32 μB/f.u.
- ΔE to the lowest computed polymorph: 0.000 eV/atom